# 1
Computed, not measured: an optimized crystal structure of TaZn2Bi at the PBE level of DFT.

Cell lengths 4.831, 4.831, 4.831 Å; angles 60.00, 60.00, 60.00 degrees
Site moments in Bohr magnetons follow the coordinates.
Fractional coordinates of all 4 atoms:
Bi (0.500, 0.500, 0.500)  -0.01
Ta (0.250, 0.250, 0.250)  0.33
Zn (0.000, 0.000, 0.000)  0.00
Zn (0.750, 0.750, 0.750)  -0.01

Results
* space group: F-43m (216)
* spin magnetization: 0.11 μB/atom
* uncorrected energy: -3.934 eV/atom
* volume: 79.71 Å³/cell

# 2
Computed, not measured: an optimized crystal structure of TaZnBi2 at the PBE level of DFT.

Cell lengths 5.132, 5.132, 5.132 Å; angles 60.00, 60.00, 60.00 degrees
Site moments in Bohr magnetons follow the coordinates.
Fractional coordinates of all 4 atoms:
Bi (0.000, 0.000, 0.000)  0.00
Bi (0.750, 0.750, 0.750)  -0.03
Ta (0.500, 0.500, 0.500)  0.50
Zn (0.250, 0.250, 0.250)  0.01

Results
* space group: F-43m (216)
* spin magnetization: 0.18 μB/atom
* uncorrected energy: -4.507 eV/atom
* volume: 95.58 Å³/cell

# 3
Computed, not measured: an optimized crystal structure of ZrTa2Bi at the PBE level of DFT.

Cell lengths 4.895, 4.895, 4.895 Å; angles 60.00, 60.00, 60.00 degrees
Fractional coordinates of all 4 atoms:
Bi (0.500, 0.500, 0.500)
Ta (0.000, 0.000, 0.000)
Ta (0.750, 0.750, 0.750)
Zr (0.250, 0.250, 0.250)

Results
* space group: F-43m (216)
* spin magnetization: 0.00 μB/atom
* uncorrected energy: -8.763 eV/atom
* volume: 82.92 Å³/cell

# 4
Computed, not measured: an optimized crystal structure of Tb5Bi3 at the PBE level of DFT.

Cell lengths 8.280, 9.562, 12.058 Å; angles 90.00, 90.00, 90.00 degrees
Fractional coordinates of all 32 atoms:
Bi (0.591, 0.250, 0.043)
Bi (0.064, 0.505, 0.175)
Bi (0.064, 0.995, 0.175)
Bi (0.564, 0.505, 0.325)
Bi (0.564, 0.995, 0.325)
Bi (0.091, 0.250, 0.457)
Bi (0.909, 0.750, 0.543)
Bi (0.436, 0.005, 0.675)
Bi (0.436, 0.495, 0.675)
Bi (0.936, 0.005, 0.825)
Bi (0.936, 0.495, 0.825)
Bi (0.409, 0.750, 0.957)
Tb (0.975, 0.250, 0.012)
Tb (0.694, 0.562, 0.057)
Tb (0.694, 0.938, 0.057)
Tb (0.352, 0.750, 0.214)
Tb (0.313, 0.250, 0.220)
Tb (0.813, 0.250, 0.280)
Tb (0.852, 0.750, 0.286)
Tb (0.194, 0.562, 0.443)
Tb (0.194, 0.938, 0.443)
Tb (0.475, 0.250, 0.488)
Tb (0.525, 0.750, 0.512)
Tb (0.806, 0.062, 0.557)
Tb (0.806, 0.438, 0.557)
Tb (0.148, 0.250, 0.714)
Tb (0.187, 0.750, 0.720)
Tb (0.687, 0.750, 0.780)
Tb (0.648, 0.250, 0.786)
Tb (0.306, 0.062, 0.943)
Tb (0.306, 0.438, 0.943)
Tb (0.025, 0.750, 0.988)

Results
* space group: Pnma (62)
* spin magnetization: 0.00 μB/atom
* energy relative to the lowest polymorph listed for this composition: 0.00 eV per formula unit
* uncorrected energy: -5.127 eV/atom
* volume: 954.70 Å³/cell

# 5
Computed, not measured: an optimized crystal structure of TbBi2 at the PBE level of DFT.

Cell lengths 5.604, 5.604, 3.317 Å; angles 90.00, 90.00, 120.00 degrees
Fractional coordinates of all 3 atoms:
Bi (0.667, 0.333, 0.500)
Bi (0.333, 0.667, 0.500)
Tb (0.000, 0.000, 0.000)

Results
* space group: P6/mmm (191)
* spin magnetization: 0.01 μB/atom
* uncorrected energy: -4.518 eV/atom
* volume: 90.21 Å³/cell

# 6
Computed, not measured: an optimized crystal structure of TbBi at the PBE level of DFT.

Cell lengths 4.996, 4.996, 4.996 Å; angles 60.00, 60.00, 60.00 degrees
Fractional coordinates of all 2 atoms:
Bi (0.000, 0.000, 0.000)
Tb (0.250, 0.250, 0.250)

Results
* space group: F-43m (216)
* spin magnetization: 0.00 μB/atom
* uncorrected energy: -4.711 eV/atom
* volume: 88.16 Å³/cell